*w*
Below is ZnCdN2 after structural relaxation, with properties calculated at the GGA-PBE level.

The spin magnetization is 0.000 μB/atom.

The space group is R-3m (No. 166, hexagonal axes) and the conventional cell measures 3.1770, 3.1770 and 18.7032 Å, with angles of 90.00, 90.00 and 120.00 degrees. The distinct sites, in fractional coordinates, are Zn at (0.0000, 0.0000, 0.0000), Cd at (0.0000, 0.0000, 0.5000) and N at (0.0000, 0.0000, 0.3882).


*x*
Below is ZnCdN2 after structural relaxation, with properties calculated at the GGA-PBE level.

The spin magnetization is 0.500 μB/atom.

The space group is Fm-3m (No. 225) and the conventional cell measures 5.7444, 5.7444 and 5.7444 Å, with angles of 90.00, 90.00 and 90.00 degrees. The distinct sites, in fractional coordinates, are Zn at (0.0000, 0.0000, 0.0000), Cd at (0.0000, 0.0000, 0.5000) and N at (0.2500, 0.2500, 0.2500).


*y*
Below is ZnCdN2 after structural relaxation, with properties calculated at the GGA-PBE level.

The spin magnetization is 0.000 μB/atom.

The space group is R-3m (No. 166, hexagonal axes) and the conventional cell measures 3.4519, 3.4519 and 17.8213 Å, with angles of 90.00, 90.00 and 120.00 degrees. The distinct sites, in fractional coordinates, are Zn at (0.0000, 0.0000, 0.0000), Cd at (0.0000, 0.0000, 0.5000) and N at (0.0000, 0.0000, 0.1027).


*z*
Below is ZnCdN2 after structural relaxation, with properties calculated at the GGA-PBE level.

The spin magnetization is 0.000 μB/atom.

The space group is I-42d (No. 122) and the conventional cell measures 4.9680, 4.9680 and 9.2066 Å, with angles of 90.00, 90.00 and 90.00 degrees. The distinct sites, in fractional coordinates, are Zn at (0.0000, 0.0000, 0.0000), Cd at (0.0000, 0.0000, 0.5000) and N at (0.2066, 0.2500, 0.1250).


Of them, the most stable is *z* and the least stable is *x*.


*w*
Below is Zn2CdN after structural relaxation, with properties calculated at the GGA-PBE level.

The spin magnetization is 0.000 μB/atom.

The space group is R-3m (No. 166, hexagonal axes) and the conventional cell measures 3.2079, 3.2079 and 22.6560 Å, with angles of 90.00, 90.00 and 120.00 degrees. The distinct sites, in fractional coordinates, are Zn at (0.0000, 0.0000, 0.1209), Cd at (0.0000, 0.0000, 0.0000) and N at (0.0000, 0.0000, 0.5000).


*x*
Below is Zn2CdN after structural relaxation, with properties calculated at the GGA-PBE level.

The spin magnetization is 0.000 μB/atom.

The space group is I-42d (No. 122) and the conventional cell measures 5.8947, 5.8947 and 8.5136 Å, with angles of 90.00, 90.00 and 90.00 degrees. The distinct sites, in fractional coordinates, are Zn at (0.1133, 0.2500, 0.1250), Cd at (0.0000, 0.0000, 0.5000) and N at (0.0000, 0.0000, 0.0000).


*y*
Below is Zn2CdN after structural relaxation, with properties calculated at the GGA-PBE level.

The spin magnetization is 0.000 μB/atom.

The space group is Fm-3m (No. 225) and the conventional cell measures 6.2511, 6.2511 and 6.2511 Å, with angles of 90.00, 90.00 and 90.00 degrees. The distinct sites, in fractional coordinates, are Zn at (0.2500, 0.2500, 0.2500), Cd at (0.0000, 0.0000, 0.0000) and N at (0.0000, 0.0000, 0.5000).


Of them, the most stable is *x* and the least stable is *y*.


*w*
Below is ZnCdN after structural relaxation, with properties calculated at the GGA-PBE level.

The spin magnetization is 0.000 μB/atom.

The space group is C2/m (No. 12) and the conventional cell measures 15.2493, 3.5221 and 3.7019 Å, with angles of 90.00, 90.08 and 90.00 degrees. The distinct sites, in fractional coordinates, are Zn at (0.2209, 0.0000, 0.2497), Cd at (0.0733, 0.5000, 0.7505) and N at (0.1772, 0.0000, 0.7494).


*x*
Below is ZnCdN after structural relaxation, with properties calculated at the GGA-PBE level.

The spin magnetization is 0.000 μB/atom.

The space group is P3m1 (No. 156) and the conventional cell measures 3.3463, 3.3463 and 4.6308 Å, with angles of 90.00, 90.00 and 120.00 degrees. The distinct sites, in fractional coordinates, are Zn at (0.0000, 0.0000, 0.0000), Cd at (0.3333, 0.6667, 0.5037) and N at (0.6667, 0.3333, 0.8474).


Of them, the most stable is *w* and the least stable is *x*.


*w*
Below is Na3Cd5 after structural relaxation, with properties calculated at the GGA-PBE level.

The spin magnetization is 0.000 μB/atom.

The space group is P-62m (No. 189) and the conventional cell measures 7.5327, 7.5327 and 4.4044 Å, with angles of 90.00, 90.00 and 120.00 degrees. The distinct sites, in fractional coordinates, are Na at (0.0000, 0.6119, 0.0000), Cd at (0.0000, 0.2323, 0.5000) and Cd at (0.3333, 0.6667, 0.5000).


*x*
Below is Na3Cd5 after structural relaxation, with properties calculated at the GGA-PBE level.

The spin magnetization is 0.000 μB/atom.

The space group is I-4m2 (No. 119) and the conventional cell measures 4.7198, 4.7198 and 17.5871 Å, with angles of 90.00, 90.00 and 90.00 degrees. The distinct sites, in fractional coordinates, are Na at (0.0000, 0.0000, 0.0000), Na at (0.0000, 0.5000, 0.1281), Cd at (0.0000, 0.0000, 0.2475), Cd at (0.0000, 0.0000, 0.5000) and Cd at (0.0000, 0.5000, 0.6293).


Of them, the most stable is *x* and the least stable is *w*.


*w*
Below is Na4Cd after structural relaxation, with properties calculated at the GGA-PBE level.

The spin magnetization is 0.000 μB/atom.

The space group is C2/m (No. 12) and the conventional cell measures 13.1110, 3.7329 and 9.2678 Å, with angles of 90.00, 134.92 and 90.00 degrees. The distinct sites, in fractional coordinates, are Na at (0.0849, 0.0000, 0.3625), Na at (0.2221, 0.5000, 0.8068) and Cd at (0.0000, 0.5000, 0.0000).


*x*
Below is Na4Cd after structural relaxation, with properties calculated at the GGA-PBE level.

The spin magnetization is 0.000 μB/atom.

The space group is Pm-3m (No. 221) and the conventional cell measures 5.9072, 5.9072 and 5.9072 Å, with angles of 90.00, 90.00 and 90.00 degrees. The distinct sites, in fractional coordinates, are Na at (0.0000, 0.0000, 0.0000), Na at (0.0000, 0.5000, 0.5000) and Cd at (0.5000, 0.5000, 0.5000).


Of them, the most stable is *w* and the least stable is *x*.


*w*
Below is NaCd4 after structural relaxation, with properties calculated at the GGA-PBE level.

The spin magnetization is 0.000 μB/atom.

The space group is Pm-3m (No. 221) and the conventional cell measures 5.6955, 5.6955 and 5.6955 Å, with angles of 90.00, 90.00 and 90.00 degrees. The distinct sites, in fractional coordinates, are Na at (0.0000, 0.0000, 0.0000), Cd at (0.0000, 0.0000, 0.5000) and Cd at (0.5000, 0.5000, 0.5000).


*x*
Below is NaCd4 after structural relaxation, with properties calculated at the GGA-PBE level.

The spin magnetization is 0.000 μB/atom.

The space group is Fmmm (No. 69) and the conventional cell measures 6.1908, 6.2114 and 13.7598 Å, with angles of 90.00, 90.00 and 90.00 degrees. The distinct sites, in fractional coordinates, are Na at (0.0000, 0.0000, 0.0000), Cd at (0.0000, 0.0000, 0.3987) and Cd at (0.2500, 0.2500, 0.2500).


*y*
Below is NaCd4 after structural relaxation, with properties calculated at the GGA-PBE level.

The spin magnetization is 0.000 μB/atom.

The space group is Cmcm (No. 63) and the conventional cell measures 4.8579, 15.1265 and 6.4845 Å, with angles of 90.00, 90.00 and 90.00 degrees. The distinct sites, in fractional coordinates, are Na at (0.0000, 0.0992, 0.2500), Cd at (0.0000, 0.1185, 0.7500), Cd at (0.0000, 0.3043, 0.9999) and Cd at (0.0000, 0.5000, 0.0000).


Of them, the most stable is *y* and the least stable is *w*.